Below is TbPmHo2In4 after structural relaxation, with properties calculated at the PBE level.

```
TbPmHo2In4
1.0
-3.4363 1.4357 3.8242
-3.9780 -3.2800 1.3824
2.6728 -4.3192 7.7488
Ho In Tb Pm
2 4 1 1
Direct
0.2498 0.2498 0.2506
0.7502 0.7502 0.7494
0.1258 0.1258 0.6225
0.6241 0.6241 0.1276
0.8742 0.8742 0.3775
0.3759 0.3759 0.8724
0.5000 0.5000 0.5000
0.0000 0.0000 0.0000
```

Values from the calculation:
* energy of formation: -468.5 meV/atom
* calculated total energy: -33.24 eV/cell
* SG: No. 166

***

Below is ZnCo3Si2 after structural relaxation, with properties calculated at the PBE level.

```
ZnCo3Si2
1.0
3.6183 0.0000 0.0000
0.0000 4.3308 -2.5004
0.0000 0.0000 5.0008
Co Si Zn
3 2 1
Direct
0.0000 0.5000 0.5000
0.0000 0.0000 0.5000
0.0000 0.5000 0.0000
0.5000 0.6667 0.3333
0.5000 0.3333 0.6667
0.0000 0.0000 0.0000
```

Values from the calculation:
* calculated total energy: -35.29 eV/cell
* formation energy (no corrections): -309 meV per atom
* SG: No. 191